1.
## Si2Pb (meta-GGA SCAN)

Data for Si2Pb at its PBEsol-relaxed geometry.

Cell: 4.7256 4.7256 4.7256 Å, 60.00 60.00 60.00°
Fractional positions:
Pb1 0.0000 0.0000 0.0000
Si1 0.2500 0.2500 0.2500
Si2 0.7500 0.7500 0.7500

Results
Raw formation energy = 1099 meV per atom
Space-group type = No. 225
Final energy = -30.838 eV per atom


2.
## SrSi2Pb (meta-GGA SCAN)

Data for SrSi2Pb at its PBEsol-relaxed geometry.

Cell: 4.4160 4.5635 4.5635 Å, 90.00 90.00 90.00°
Fractional positions:
Pb1 0.5000 0.0000 0.0000
Si1 0.0000 0.0000 0.5000
Si2 0.0000 0.5000 0.0000
Sr1 0.5000 0.5000 0.5000

Results
Raw formation energy = 133 meV per atom
Space-group type = No. 123
Final energy = -29.389 eV per atom


3.
## SrSiPb2 (meta-GGA SCAN)

Data for SrSiPb2 at its PBEsol-relaxed geometry.

Cell: 4.1827 5.3544 5.9749 Å, 114.02 110.49 90.00°
Fractional positions:
Pb1 0.0037 0.9712 0.0074
Pb2 0.2036 0.6740 0.4072
Si1 0.5100 0.6015 0.0200
Sr1 0.7827 0.2533 0.5654

Results
Raw formation energy = -187 meV per atom
Space-group type = No. 8
Final energy = -46.150 eV per atom


4.
## Sr2SiPb (meta-GGA SCAN)

Data for Sr2SiPb at its PBEsol-relaxed geometry.

Cell: 4.6701 4.6701 6.3623 Å, 111.53 111.53 90.00°
Fractional positions:
Pb1 0.5000 0.5000 0.0000
Si1 0.2500 0.7500 0.5000
Sr1 0.0000 0.0000 0.0000
Sr2 0.7500 0.2500 0.5000

Results
Raw formation energy = -212 meV per atom
Space-group type = No. 119
Final energy = -32.799 eV per atom


5.
## Sr2SiPb (meta-GGA SCAN)

Data for Sr2SiPb at its PBEsol-relaxed geometry.

Cell: 5.5223 5.5223 5.5223 Å, 60.00 60.00 60.00°
Fractional positions:
Pb1 0.0000 0.0000 0.0000
Si1 0.5000 0.5000 0.5000
Sr1 0.2500 0.2500 0.2500
Sr2 0.7500 0.7500 0.7500

Results
Raw formation energy = -398 meV per atom
Space-group type = No. 225
Final energy = -32.985 eV per atom


6.
## SrSiPb2 (meta-GGA SCAN)

Data for SrSiPb2 at its PBEsol-relaxed geometry.

Cell: 5.4009 5.4009 5.4009 Å, 60.00 60.00 60.00°
Fractional positions:
Pb1 0.0000 0.0000 0.0000
Pb2 0.7500 0.7500 0.7500
Si1 0.5000 0.5000 0.5000
Sr1 0.2500 0.2500 0.2500

Results
Raw formation energy = 26 meV per atom
Space-group type = No. 216
Final energy = -45.938 eV per atom


7.
## Sr2SiPb (meta-GGA SCAN)

Data for Sr2SiPb at its PBEsol-relaxed geometry.

Cell: 3.5414 4.4096 7.4027 Å, 90.00 90.00 90.00°
Fractional positions:
Pb1 0.5000 0.5000 0.0000
Si1 0.5000 0.5000 0.5000
Sr1 0.0000 0.0000 0.7282
Sr2 0.0000 0.0000 0.2718

Results
Raw formation energy = -425 meV per atom
Space-group type = No. 47
Final energy = -33.012 eV per atom


8.
## SrSi2Pb (meta-GGA SCAN)

Data for SrSi2Pb at its PBEsol-relaxed geometry.

Cell: 4.3283 4.3405 5.9662 Å, 90.00 90.00 90.00°
Fractional positions:
Pb1 0.0000 0.5000 0.0000
Si1 0.0000 0.0000 0.6875
Si2 0.0000 0.0000 0.3125
Sr1 0.5000 0.5000 0.5000

Results
Raw formation energy = 64 meV per atom
Space-group type = No. 47
Final energy = -29.458 eV per atom


9.
## SrSiPb2 (meta-GGA SCAN)

Data for SrSiPb2 at its PBEsol-relaxed geometry.

Cell: 3.9160 3.9160 7.0686 Å, 90.00 90.00 90.00°
Fractional positions:
Pb1 0.0000 0.0000 0.7911
Pb2 0.0000 0.0000 0.2089
Si1 0.5000 0.5000 0.0000
Sr1 0.5000 0.5000 0.5000

Results
Raw formation energy = -29 meV per atom
Space-group type = No. 123
Final energy = -45.992 eV per atom


10.
## Ta2SiPb (meta-GGA SCAN)

Data for Ta2SiPb at its PBEsol-relaxed geometry.

Cell: 3.6291 4.9053 5.0832 Å, 118.85 110.91 90.00°
Fractional positions:
Pb1 0.0000 0.5000 0.0000
Si1 0.5000 0.0000 0.0000
Ta1 0.7838 0.7838 0.5676
Ta2 0.2162 0.2162 0.4324

Results
Raw formation energy = 248 meV per atom
Space-group type = No. 71
Final energy = -54.493 eV per atom


11.
## TaSiPb2 (meta-GGA SCAN)

Data for TaSiPb2 at its PBEsol-relaxed geometry.

Cell: 3.3595 3.7755 7.8586 Å, 103.90 102.34 90.00°
Fractional positions:
Pb1 0.6742 0.6742 0.3485
Pb2 0.3258 0.3258 0.6515
Si1 0.5000 0.0000 0.0000
Ta1 0.0000 0.5000 0.0000

Results
Raw formation energy = 249 meV per atom
Space-group type = No. 71
Final energy = -56.792 eV per atom


12.
## TaSi2Pb (meta-GGA SCAN)

Data for TaSi2Pb at its PBEsol-relaxed geometry.

Cell: 2.9750 4.9682 4.9682 Å, 100.55 90.13 90.13°
Fractional positions:
Pb1 0.5000 0.0000 0.0000
Si1 0.0000 0.5000 0.0000
Si2 0.0000 0.0000 0.5000
Ta1 0.5000 0.5000 0.5000

Results
Raw formation energy = 654 meV per atom
Space-group type = No. 12
Final energy = -39.945 eV per atom


13.
## TaSiPb2 (meta-GGA SCAN)

Data for TaSiPb2 at its PBEsol-relaxed geometry.

Cell: 3.3195 3.4499 7.9632 Å, 90.00 90.00 90.00°
Fractional positions:
Pb1 0.0000 0.0000 0.9481
Pb2 0.5000 0.5000 0.2995
Si1 0.0000 0.0000 0.5681
Ta1 0.5000 0.5000 0.6844

Results
Raw formation energy = 240 meV per atom
Space-group type = No. 25
Final energy = -56.800 eV per atom


14.
## Ta2SiPb (meta-GGA SCAN)

Data for Ta2SiPb at its PBEsol-relaxed geometry.

Cell: 3.3296 4.8699 4.9254 Å, 96.88 90.00 109.99°
Fractional positions:
Pb1 0.5000 0.0000 0.0000
Si1 0.0000 0.0000 0.5000
Ta1 0.7521 0.5043 0.7196
Ta2 0.2479 0.4957 0.2804

Results
Raw formation energy = 356 meV per atom
Space-group type = No. 12
Final energy = -54.385 eV per atom


15.
## TaSiPb2 (meta-GGA SCAN)

Data for TaSiPb2 at its PBEsol-relaxed geometry.

Cell: 3.5866 4.8693 4.8863 Å, 90.00 90.00 90.00°
Fractional positions:
Pb1 0.0000 0.0000 0.0000
Pb2 0.5000 0.5000 0.0000
Si1 0.5000 0.0000 0.5000
Ta1 0.0000 0.5000 0.5000

Results
Raw formation energy = 858 meV per atom
Space-group type = No. 47
Final energy = -56.182 eV per atom


16.
## Ta2SiPb (meta-GGA SCAN)

Data for Ta2SiPb at its PBEsol-relaxed geometry.

Cell: 4.0312 4.0312 5.2595 Å, 112.53 112.53 90.00°
Fractional positions:
Pb1 0.5000 0.5000 0.0000
Si1 0.2500 0.7500 0.5000
Ta1 0.0000 0.0000 0.0000
Ta2 0.7500 0.2500 0.5000

Results
Raw formation energy = 446 meV per atom
Space-group type = No. 119
Final energy = -54.295 eV per atom


17.
## SiTcPb2 (meta-GGA SCAN)

Data for SiTcPb2 at its PBEsol-relaxed geometry.

Cell: 4.5267 4.5267 5.0886 Å, 116.41 116.41 90.00°
Each line ends with the local moment (μB).
Fractional positions:
Pb1 0.7500 0.2500 0.5000  -0.01
Pb2 0.2500 0.7500 0.5000  -0.01
Si1 0.5000 0.5000 0.0000  0.02
Tc1 0.0000 0.0000 0.0000  1.96

Results
Raw formation energy = 964 meV per atom
Space-group type = No. 139
Final energy = -48.196 eV per atom


18.
## Si2TePb (meta-GGA SCAN)

Data for Si2TePb at its PBEsol-relaxed geometry.

Cell: 3.9659 3.9659 7.1944 Å, 74.00 74.00 60.00°
Fractional positions:
Pb1 0.0000 0.0000 0.0000
Si1 0.2489 0.2489 0.2532
Si2 0.7511 0.7511 0.7468
Te1 0.5000 0.5000 0.5000

Results
Raw formation energy = 488 meV per atom
Space-group type = No. 166
Final energy = -32.778 eV per atom


19.
## Si2TePb (meta-GGA SCAN)

Data for Si2TePb at its PBEsol-relaxed geometry.

Cell: 3.8449 5.0796 5.2855 Å, 103.76 90.00 90.00°
Fractional positions:
Pb1 0.5000 0.5000 0.0000
Si1 0.0000 0.1769 0.1915
Si2 0.0000 0.8231 0.8085
Te1 0.5000 0.0000 0.5000

Results
Raw formation energy = 413 meV per atom
Space-group type = No. 10
Final energy = -32.853 eV per atom


20.
## Si2TePb (meta-GGA SCAN)

Data for Si2TePb at its PBEsol-relaxed geometry.

Cell: 3.8015 4.4307 5.9642 Å, 104.66 90.00 90.00°
Fractional positions:
Pb1 0.5000 0.1977 0.7746
Si1 0.0000 0.0414 0.1143
Si2 0.5000 0.7315 0.1485
Te1 0.0000 0.5295 0.4626

Results
Raw formation energy = 303 meV per atom
Space-group type = No. 6
Final energy = -32.963 eV per atom